1.
## TlRu (GGA-PBE)

Data for crystalline TlRu at its relaxed geometry.

Structure (CIF):
```
data_TlRu
_chemical_formula_sum 'Tl2 Ru2'
_space_group_name_H-M_alt 'P 1'
_space_group_IT_number 1
_space_group_name_Hall 'P 1'
_cell_length_a 3.049
_cell_length_b 3.049
_cell_length_c 9.985
_cell_angle_alpha 90.00
_cell_angle_beta 90.00
_cell_angle_gamma 120.00
loop_
_atom_site_label
_atom_site_fract_x
_atom_site_fract_y
_atom_site_fract_z
Tl1 0.333 0.667 0.159
Tl2 0.667 0.333 0.841
Ru1 0.333 0.667 0.594
Ru2 0.667 0.333 0.406
```

Output
The space group is No. 164. Its magnetization is 0.00 μB/cell. The calculation puts the energy relative to the elements at 1.25 eV per formula unit. As for the total energy: -5.194 eV/atom.


2.
## Tl3Ru (GGA-PBE)

Data for crystalline Tl3Ru at its relaxed geometry.

Structure (CIF):
```
data_Tl3Ru
_chemical_formula_sum 'Tl3 Ru1'
_space_group_name_H-M_alt 'P 1'
_space_group_IT_number 1
_space_group_name_Hall 'P 1'
_cell_length_a 7.586
_cell_length_b 7.586
_cell_length_c 7.586
_cell_angle_alpha 155.95
_cell_angle_beta 144.47
_cell_angle_gamma 43.37
loop_
_atom_site_label
_atom_site_fract_x
_atom_site_fract_y
_atom_site_fract_z
Tl1 0.000 0.000 0.000
Tl2 0.323 0.823 0.500
Tl3 0.677 0.177 0.500
Ru1 0.500 0.500 0.000
```

Output
The space group is No. 71. Its magnetization is 0.00 μB/cell. The calculation puts the energy relative to the elements at 1.30 eV per formula unit. As for the total energy: -3.770 eV/atom. The calculation puts the energy above the most stable polymorph in this dataset at 8.0 kJ/mol of atoms.


3.
## Tl2Ru (GGA-PBE)

Data for crystalline Tl2Ru at its relaxed geometry.

Structure (CIF):
```
data_Tl2Ru
_chemical_formula_sum 'Tl8 Ru4'
_space_group_name_H-M_alt 'P 1'
_space_group_IT_number 1
_space_group_name_Hall 'P 1'
_cell_length_a 13.936
_cell_length_b 13.936
_cell_length_c 13.936
_cell_angle_alpha 162.19
_cell_angle_beta 162.19
_cell_angle_gamma 25.29
loop_
_atom_site_label
_atom_site_fract_x
_atom_site_fract_y
_atom_site_fract_z
Tl1 0.124 0.374 0.750
Tl2 0.286 0.536 0.750
Tl3 0.374 0.124 0.250
Tl4 0.464 0.714 0.750
Tl5 0.536 0.286 0.250
Tl6 0.626 0.876 0.750
Tl7 0.714 0.464 0.250
Tl8 0.876 0.626 0.250
Ru1 0.054 0.804 0.250
Ru2 0.196 0.946 0.250
Ru3 0.804 0.054 0.750
Ru4 0.946 0.196 0.750
```

Output
The space group is No. 141. Its magnetization is 0.00 μB/cell. The calculation puts the energy relative to the elements at 2.27 eV per formula unit. As for the total energy: -3.914 eV/atom.


4.
## TlRu5 (GGA-PBE)

Data for crystalline TlRu5 at its relaxed geometry.

Structure (CIF):
```
data_TlRu5
_chemical_formula_sum 'Tl1 Ru5'
_space_group_name_H-M_alt 'P 1'
_space_group_IT_number 1
_space_group_name_Hall 'P 1'
_cell_length_a 5.041
_cell_length_b 5.041
_cell_length_c 4.586
_cell_angle_alpha 90.00
_cell_angle_beta 90.00
_cell_angle_gamma 120.00
loop_
_atom_site_label
_atom_site_fract_x
_atom_site_fract_y
_atom_site_fract_z
Tl1 0.000 0.000 0.000
Ru1 0.000 0.500 0.500
Ru2 0.333 0.667 0.000
Ru3 0.500 0.000 0.500
Ru4 0.500 0.500 0.500
Ru5 0.667 0.333 0.000
```

Output
The space group is No. 191. Its magnetization is 2.62 μB/cell. The calculation puts the energy relative to the elements at 4.23 eV per formula unit. As for the total energy: -7.419 eV/atom. The calculation puts the energy above the most stable polymorph in this dataset at 36.8 kJ/mol of atoms.


5.
## TlRu (GGA-PBE)

Data for crystalline TlRu at its relaxed geometry.

Structure (CIF):
```
data_TlRu
_chemical_formula_sum 'Tl4 Ru4'
_space_group_name_H-M_alt 'P 1'
_space_group_IT_number 1
_space_group_name_Hall 'P 1'
_cell_length_a 6.271
_cell_length_b 6.271
_cell_length_c 6.271
_cell_angle_alpha 98.33
_cell_angle_beta 98.33
_cell_angle_gamma 135.24
loop_
_atom_site_label
_atom_site_fract_x
_atom_site_fract_y
_atom_site_fract_z
Tl1 0.000 0.279 0.279
Tl2 0.000 0.721 0.721
Tl3 0.279 0.000 0.279
Tl4 0.721 0.000 0.721
Ru1 0.346 0.346 0.693
Ru2 0.346 0.654 0.000
Ru3 0.654 0.346 0.000
Ru4 0.654 0.654 0.307
```

Output
The space group is No. 139. Its magnetization is 0.01 μB/cell. The calculation puts the energy relative to the elements at 1.19 eV per formula unit. As for the total energy: -5.226 eV/atom.


6.
## Tl5Ru (GGA-PBE)

Data for crystalline Tl5Ru at its relaxed geometry.

Structure (CIF):
```
data_Tl5Ru
_chemical_formula_sum 'Tl5 Ru1'
_space_group_name_H-M_alt 'P 1'
_space_group_IT_number 1
_space_group_name_Hall 'P 1'
_cell_length_a 3.345
_cell_length_b 3.345
_cell_length_c 14.130
_cell_angle_alpha 90.00
_cell_angle_beta 90.00
_cell_angle_gamma 90.00
loop_
_atom_site_label
_atom_site_fract_x
_atom_site_fract_y
_atom_site_fract_z
Tl1 0.000 0.000 0.000
Tl2 0.000 0.000 0.383
Tl3 0.000 0.000 0.617
Tl4 0.500 0.500 0.195
Tl5 0.500 0.500 0.805
Ru1 0.500 0.500 0.500
```

Output
The space group is No. 123. Its magnetization is 0.00 μB/cell. The calculation puts the energy relative to the elements at 1.61 eV per formula unit. As for the total energy: -3.249 eV/atom. The calculation puts the energy above the most stable polymorph in this dataset at 1.4 kJ/mol of atoms.


7.
## Tl2Ru (GGA-PBE)

Data for crystalline Tl2Ru at its relaxed geometry.

Structure (CIF):
```
data_Tl2Ru
_chemical_formula_sum 'Tl2 Ru1'
_space_group_name_H-M_alt 'P 1'
_space_group_IT_number 1
_space_group_name_Hall 'P 1'
_cell_length_a 6.509
_cell_length_b 6.509
_cell_length_c 3.337
_cell_angle_alpha 90.00
_cell_angle_beta 90.00
_cell_angle_gamma 151.42
loop_
_atom_site_label
_atom_site_fract_x
_atom_site_fract_y
_atom_site_fract_z
Tl1 0.135 0.865 0.000
Tl2 0.865 0.135 0.000
Ru1 0.500 0.500 0.500
```

Output
The space group is No. 65. Its magnetization is 0.00 μB/cell. The calculation puts the energy relative to the elements at 1.55 eV per formula unit. As for the total energy: -4.154 eV/atom.


8.
## TlRu (GGA-PBE)

Data for crystalline TlRu at its relaxed geometry.

Structure (CIF):
```
data_TlRu
_chemical_formula_sum 'Tl8 Ru8'
_space_group_name_H-M_alt 'P 1'
_space_group_IT_number 1
_space_group_name_Hall 'P 1'
_cell_length_a 10.607
_cell_length_b 10.607
_cell_length_c 2.933
_cell_angle_alpha 90.00
_cell_angle_beta 90.00
_cell_angle_gamma 90.00
loop_
_atom_site_label
_atom_site_fract_x
_atom_site_fract_y
_atom_site_fract_z
Tl1 0.114 0.180 0.000
Tl2 0.180 0.886 0.000
Tl3 0.320 0.640 0.500
Tl4 0.360 0.320 0.500
Tl5 0.640 0.680 0.500
Tl6 0.680 0.360 0.500
Tl7 0.820 0.114 0.000
Tl8 0.886 0.820 0.000
Ru1 0.028 0.616 0.500
Ru2 0.164 0.461 0.000
Ru3 0.384 0.028 0.500
Ru4 0.461 0.836 0.000
Ru5 0.539 0.164 0.000
Ru6 0.616 0.972 0.500
Ru7 0.836 0.539 0.000
Ru8 0.972 0.384 0.500
```

Output
The space group is No. 83. Its magnetization is 0.00 μB/cell. The calculation puts the energy relative to the elements at 0.94 eV per formula unit. As for the total energy: -5.353 eV/atom.


9.
## Tl5Ru (GGA-PBE)

Data for crystalline Tl5Ru at its relaxed geometry.

Structure (CIF):
```
data_Tl5Ru
_chemical_formula_sum 'Tl5 Ru1'
_space_group_name_H-M_alt 'P 1'
_space_group_IT_number 1
_space_group_name_Hall 'P 1'
_cell_length_a 6.730
_cell_length_b 6.730
_cell_length_c 4.313
_cell_angle_alpha 90.00
_cell_angle_beta 90.00
_cell_angle_gamma 120.00
loop_
_atom_site_label
_atom_site_fract_x
_atom_site_fract_y
_atom_site_fract_z
Tl1 0.000 0.722 0.000
Tl2 0.278 0.278 0.000
Tl3 0.333 0.667 0.500
Tl4 0.667 0.333 0.500
Tl5 0.722 0.000 0.000
Ru1 0.000 0.000 0.500
```

Output
The space group is No. 189. Its magnetization is 0.00 μB/cell. The calculation puts the energy relative to the elements at 2.47 eV per formula unit. As for the total energy: -3.106 eV/atom. The calculation puts the energy above the most stable polymorph in this dataset at 15.2 kJ/mol of atoms.


10.
## TlRu (GGA-PBE)

Data for crystalline TlRu at its relaxed geometry.

Structure (CIF):
```
data_TlRu
_chemical_formula_sum 'Tl1 Ru1'
_space_group_name_H-M_alt 'P 1'
_space_group_IT_number 1
_space_group_name_Hall 'P 1'
_cell_length_a 3.885
_cell_length_b 3.885
_cell_length_c 3.885
_cell_angle_alpha 60.00
_cell_angle_beta 60.00
_cell_angle_gamma 60.00
loop_
_atom_site_label
_atom_site_fract_x
_atom_site_fract_y
_atom_site_fract_z
Tl1 0.000 0.000 0.000
Ru1 0.500 0.500 0.500
```

Output
The space group is No. 225. Its magnetization is 0.72 μB/cell. The calculation puts the energy relative to the elements at 2.02 eV per formula unit. As for the total energy: -4.810 eV/atom.


11.
## TlRu4 (GGA-PBE)

Data for crystalline TlRu4 at its relaxed geometry.

Structure (CIF):
```
data_TlRu4
_chemical_formula_sum 'Tl1 Ru4'
_space_group_name_H-M_alt 'P 1'
_space_group_IT_number 1
_space_group_name_Hall 'P 1'
_cell_length_a 4.865
_cell_length_b 4.865
_cell_length_c 4.865
_cell_angle_alpha 99.23
_cell_angle_beta 99.23
_cell_angle_gamma 132.79
loop_
_atom_site_label
_atom_site_fract_x
_atom_site_fract_y
_atom_site_fract_z
Tl1 0.000 0.000 0.000
Ru1 0.185 0.404 0.588
Ru2 0.404 0.815 0.219
Ru3 0.596 0.185 0.781
Ru4 0.815 0.596 0.412
```

Output
The space group is No. 87. Its magnetization is 0.00 μB/cell. The calculation puts the energy relative to the elements at 2.23 eV per formula unit. As for the total energy: -7.448 eV/atom. The calculation puts the energy above the most stable polymorph in this dataset at 0.0 kJ/mol of atoms.


12.
## Tl4Ru (GGA-PBE)

Data for crystalline Tl4Ru at its relaxed geometry.

Structure (CIF):
```
data_Tl4Ru
_chemical_formula_sum 'Tl4 Ru1'
_space_group_name_H-M_alt 'P 1'
_space_group_IT_number 1
_space_group_name_Hall 'P 1'
_cell_length_a 6.597
_cell_length_b 6.597
_cell_length_c 6.597
_cell_angle_alpha 93.32
_cell_angle_beta 93.32
_cell_angle_gamma 152.13
loop_
_atom_site_label
_atom_site_fract_x
_atom_site_fract_y
_atom_site_fract_z
Tl1 0.060 0.738 0.797
Tl2 0.262 0.060 0.322
Tl3 0.738 0.940 0.678
Tl4 0.940 0.262 0.203
Ru1 0.500 0.500 0.000
```

Output
The space group is No. 87. Its magnetization is 0.00 μB/cell. The calculation puts the energy relative to the elements at 1.64 eV per formula unit. As for the total energy: -3.420 eV/atom. The calculation puts the energy above the most stable polymorph in this dataset at 9.5 kJ/mol of atoms.